No. 1
DFT (PBE with a Hubbard U) results for Na2YMoO4 after structural relaxation.

Structure (POSCAR):
```
Na2YMoO4
1.0
-2.714 -1.318 1.484
3.317 -2.261 4.057
-1.694 5.371 1.673
O Na Mo Y
4 2 1 1
Direct
0.000 0.744 0.214 O
0.000 0.256 0.786 O
0.500 0.775 0.790 O
0.500 0.225 0.210 O
0.500 0.000 0.500 Na
0.000 0.500 0.500 Na
0.000 0.000 0.000 Mo
0.500 0.500 0.000 Y
```

Properties
Total DFT energy (no corrections) in eV/atom: -6.727

=====

No. 2
DFT (PBE with a Hubbard U) results for Na5YMo4O16 after structural relaxation.

Structure (POSCAR):
```
Na5YMo4O16
1.0
10.021 0.006 0.010
-3.335 9.450 -0.010
-3.335 -4.734 8.179
Mo Y O Na
8 2 32 10
Direct
0.975 0.930 0.768 Mo
0.525 0.293 0.955 Mo
0.025 0.070 0.232 Mo
0.162 0.732 0.207 Mo
0.662 0.455 0.430 Mo
0.838 0.268 0.793 Mo
0.475 0.707 0.045 Mo
0.338 0.545 0.570 Mo
0.250 0.375 0.125 Y
0.750 0.625 0.875 Y
0.201 0.429 0.350 O
0.512 0.519 0.365 O
0.632 0.829 0.256 O
0.368 0.171 0.744 O
0.299 0.650 0.228 O
0.488 0.481 0.635 O
0.644 0.197 0.987 O
0.012 0.647 0.993 O
0.988 0.353 0.007 O
0.856 0.843 0.553 O
0.132 0.875 0.803 O
0.847 0.865 0.853 O
0.799 0.571 0.650 O
0.422 0.272 0.071 O
0.653 0.507 0.019 O
0.154 0.135 0.147 O
0.789 0.487 0.343 O
0.868 0.125 0.197 O
0.347 0.493 0.981 O
0.144 0.157 0.447 O
0.078 0.150 0.850 O
0.211 0.513 0.657 O
0.578 0.728 0.929 O
0.922 0.850 0.150 O
0.072 0.697 0.329 O
0.289 0.947 0.303 O
0.356 0.803 0.013 O
0.572 0.244 0.375 O
0.428 0.756 0.625 O
0.701 0.350 0.772 O
0.928 0.303 0.671 O
0.711 0.053 0.697 O
0.667 0.964 0.889 Na
0.833 0.722 0.297 Na
0.575 0.797 0.464 Na
0.425 0.203 0.536 Na
0.167 0.278 0.703 Na
0.333 0.036 0.111 Na
0.075 0.611 0.778 Na
0.750 0.125 0.375 Na
0.925 0.389 0.222 Na
0.250 0.875 0.625 Na
```

Properties
Total DFT energy (no corrections) in eV/atom: -6.632

=====

No. 3
DFT (PBE with a Hubbard U) results for NaY2MoO after structural relaxation.

Structure (POSCAR):
```
NaY2MoO
1.0
-5.790 0.612 1.245
0.249 -2.895 2.579
1.334 3.924 4.274
Y O Mo Na
2 1 1 1
Direct
0.500 0.000 0.000 Y
0.000 0.000 0.500 Y
0.000 0.500 0.000 O
0.000 0.000 0.000 Mo
0.500 0.500 0.500 Na
```

Properties
Total DFT energy (no corrections) in eV/atom: -5.042

=====

Question: What is the total DFT energy (no corrections) in the first record?
Answer: -6.727 eV/atom

=====

Question: The lowest total DFT energy (no corrections) belongs to which entry?
Answer: Na2YMoO4

=====

Question: Which value of total DFT energy (no corrections) does entry 3 give?
Answer: -5.042 eV/atom